# La5Pm12Tm2

A geometry-optimized La5Pm12Tm2 structure (PBE-GGA, Alexandria).

Computed properties:
excess energy over the best structure of this formula in the dataset	0.086	eV per atom
energy of formation from the pure elements	17.8	kJ per mole of atoms
DFT total energy	-87.09	eV/cell

Cell lengths 9.3226, 10.2501, 8.9143 Å; angles 65.60, 90.00, 117.05 degrees
Element x y z (fractional)
Pm1 0.8480 0.2530 0.5419
Pm2 0.1520 0.7470 0.4581
Pm3 0.9610 0.2922 0.0929
Pm4 0.5613 0.1225 0.2771
Pm5 0.0465 0.0930 0.8141
Pm6 0.4387 0.8775 0.7229
Pm7 0.3312 0.2922 0.0929
Pm8 0.5950 0.7470 0.4581
Pm9 0.6688 0.7078 0.9071
Pm10 0.9535 0.9070 0.1859
Pm11 0.4050 0.2530 0.5419
Pm12 0.0390 0.7078 0.9071
La1 0.7630 0.5260 0.2960
La2 0.7097 0.4194 0.7777
La3 0.0000 0.0000 0.5000
La4 0.2903 0.5806 0.2223
La5 0.2370 0.4740 0.7040
Tm1 0.6733 0.0000 0.0000
Tm2 0.3267 0.0000 0.0000

# CaSb

A geometry-optimized CaSb structure (PBE-GGA, Alexandria).

Computed properties:
energy relative to the elements, uncorrected	-0.71	eV/f.u.
DFT total energy	-54.65	eV/cell

Cell lengths 13.0271, 13.0271, 4.0433 Å; angles 90.00, 90.00, 90.00 degrees
Element x y z (fractional)
Ca1 0.0608 0.6754 0.5000
Ca2 0.6754 0.9392 0.5000
Ca3 0.1754 0.4392 0.0000
Ca4 0.5608 0.1754 0.0000
Ca5 0.3246 0.0608 0.5000
Ca6 0.8246 0.5608 0.0000
Ca7 0.9392 0.3246 0.5000
Ca8 0.4392 0.8246 0.0000
Sb1 0.7564 0.1640 0.5000
Sb2 0.8360 0.7564 0.5000
Sb3 0.2436 0.8360 0.5000
Sb4 0.2564 0.6640 0.0000
Sb5 0.3360 0.2564 0.0000
Sb6 0.6640 0.7436 0.0000
Sb7 0.7436 0.3360 0.0000
Sb8 0.1640 0.2436 0.5000

# BC2

A geometry-optimized BC2 structure (PBE-GGA, Alexandria).

Computed properties:
excess energy over the best structure of this formula in the dataset	0.004	eV per atom
energy of formation from the pure elements	23.5	kJ per mole of atoms
DFT total energy	-97.57	eV/cell

Cell lengths 4.4070, 4.4070, 8.1372 Å; angles 119.33, 119.33, 33.09 degrees
Element x y z (fractional)
B1 0.3833 0.3833 0.1556
B2 0.4500 0.4500 0.3860
B3 0.6402 0.6402 0.3358
B4 0.1931 0.1931 0.2059
C1 0.1607 0.1607 0.7112
C2 0.9764 0.9764 0.5258
C3 0.8131 0.8131 0.5581
C4 0.5106 0.5106 0.8678
C5 0.0202 0.0202 0.9835
C6 0.3227 0.3227 0.6739
C7 0.8569 0.8569 0.0158
C8 0.6727 0.6727 0.8304

- DFT total energy of number 1 (La5Pm12Tm2)?
  -87.09 eV/cell